No. 1
## LiIrPt2 (GGA-PBE)

Data for a relaxed structure of LiIrPt2.

Lattice parameters (Å, degrees): 4.5273 2.7174 4.7316 89.99 90.00 90.00
Closest atoms and distances in Å follow each position.
Sites, in units of the cell vectors:
Pt1 0.5000 0.1250 0.3161  4 Ir 2.70, 4 Li 2.71-2.74, 4 Pt 2.72-2.90
Pt2 0.0000 0.1251 0.9329  4 Li 2.70, 4 Ir 2.71-2.75, 4 Pt 2.72-2.90
Ir1 0.0000 0.6249 0.4382  8 Pt 2.70-2.75, 2 Ir 2.72, 2 Li 2.87
Li1 0.5000 0.6250 0.8128  8 Pt 2.70-2.74, 2 Li 2.72, 2 Ir 2.87

relative energy among the computed polymorphs: 62 meV per atom
symmetry: Pmm2 (25)

No. 2
## Li2IrPt (GGA-PBE)

Data for a relaxed structure of Li2IrPt.

Lattice parameters (Å, degrees): 4.2908 4.2908 4.2908 120.13 120.13 89.77
Closest atoms and distances in Å follow each position.
Sites, in units of the cell vectors:
Li1 0.0000 0.0000 0.0000  4 Li 2.63, 4 Ir 2.63
Ir1 0.7500 0.2500 0.5000  4 Li 2.63, 4 Pt 2.63
Pt1 0.5000 0.5000 0.0000  4 Li 2.63, 4 Ir 2.63
Li2 0.2500 0.7500 0.5000  4 Li 2.63, 4 Pt 2.63

relative energy among the computed polymorphs: 268 meV per atom
symmetry: I-4m2 (119)

No. 3
## Li4IrPt (GGA-PBE)

Data for a relaxed structure of Li4IrPt.

Lattice parameters (Å, degrees): 4.7161 4.7161 4.7161 60.00 60.00 60.00
Closest atoms and distances in Å follow each position.
Sites, in units of the cell vectors:
Pt1 0.7500 0.7500 0.7500  12 Li 2.77, 4 Ir 2.89
Li1 0.3743 0.8770 0.3743  6 Li 2.35-2.37
Li2 0.3743 0.3743 0.8770  6 Li 2.35-2.37
Li3 0.8770 0.3743 0.3743  6 Li 2.35-2.37
Li4 0.3743 0.3743 0.3743  6 Li 2.35-2.37
Ir1 0.0000 0.0000 0.0000  12 Li 2.76, 4 Pt 2.89

symmetry: F-43m (216)
VASP energy: -23.06 eV per cell

No. 4
## Li2IrPt (GGA-PBE)

Data for a relaxed structure of Li2IrPt.

Lattice parameters (Å, degrees): 5.1356 5.1356 5.1356 149.10 126.26 63.28
Closest atoms and distances in Å follow each position.
Sites, in units of the cell vectors:
Pt1 0.7500 0.2500 0.5000  4 Li 2.57, 4 Ir 2.69, 2 Pt 2.74
Ir1 0.2500 0.7500 0.5000  4 Li 2.59, 4 Pt 2.69, 2 Ir 2.74
Li1 0.9985 0.9985 0.0000  2 Pt 2.57, 2 Ir 2.59, 6 Li 2.69-2.74
Li2 0.5015 0.5015 0.0000  2 Pt 2.57, 2 Ir 2.59, 6 Li 2.69-2.74

relative energy among the computed polymorphs: 65 meV per atom
symmetry: Immm (71)

No. 5
## LiIr2Pt (GGA-PBE)

Data for a relaxed structure of LiIr2Pt.

Lattice parameters (Å, degrees): 4.7928 4.7928 2.6832 90.00 90.00 112.38
Closest atoms and distances in Å follow each position.
Sites, in units of the cell vectors:
Li1 0.5000 0.0000 0.5000  2 Pt 2.67, 2 Li 2.68, 8 Ir 2.75
Ir1 0.5000 0.5000 0.0000  4 Ir 2.67-2.68, 4 Li 2.75, 4 Pt 2.75
Pt1 0.0000 0.5000 0.5000  2 Li 2.67, 2 Pt 2.68, 8 Ir 2.75
Ir2 0.0000 0.0000 0.0000  4 Ir 2.67-2.68, 4 Pt 2.75, 4 Li 2.75

relative energy among the computed polymorphs: 69 meV per atom
symmetry: Cmmm (65)

No. 6
## Li2IrPt (GGA-PBE)

Data for a relaxed structure of Li2IrPt.

Lattice parameters (Å, degrees): 2.6749 2.6749 9.5548 90.00 90.00 117.41
Closest atoms and distances in Å follow each position.
Sites, in units of the cell vectors:
Li1 0.0000 0.0000 0.9807  2 Ir 2.53, 6 Li 2.67-2.78
Ir1 0.5000 0.5000 0.7595  2 Li 2.53, 6 Ir 2.67-2.78
Pt1 0.0000 0.0000 0.4894  2 Li 2.51, 6 Pt 2.67-2.78
Li2 0.5000 0.5000 0.2704  2 Pt 2.51, 6 Li 2.67-2.78

relative energy among the computed polymorphs: 375 meV per atom
symmetry: Cmm2 (35)

No. 7
## LiIr2Pt (GGA-PBE)

Data for a relaxed structure of LiIr2Pt.

Lattice parameters (Å, degrees): 9.3350 9.3350 9.3350 16.65 16.65 16.65
Closest atoms and distances in Å follow each position.
Sites, in units of the cell vectors:
Li1 0.2500 0.2500 0.2500  6 Li 2.70, 6 Ir 2.73
Ir1 0.9977 0.9977 0.9977  6 Ir 2.70, 3 Li 2.73, 3 Pt 2.83
Ir2 0.5023 0.5023 0.5023  6 Ir 2.70, 3 Li 2.73, 3 Pt 2.83
Pt1 0.7500 0.7500 0.7500  6 Pt 2.70, 6 Ir 2.83

relative energy among the computed polymorphs: 203 meV per atom
symmetry: R-3m (166)

No. 8
## Li2IrPt (GGA-PBE)

Data for a relaxed structure of Li2IrPt.

Lattice parameters (Å, degrees): 4.2310 4.2310 2.8123 90.00 90.00 90.00
Closest atoms and distances in Å follow each position.
Sites, in units of the cell vectors:
Li1 0.0000 0.0000 0.0000  4 Ir 2.54, 4 Pt 2.54, 2 Li 2.81
Ir1 0.0000 0.5000 0.5000  8 Li 2.54, 2 Ir 2.81
Pt1 0.5000 0.0000 0.5000  8 Li 2.54, 2 Pt 2.81
Li2 0.5000 0.5000 0.0000  4 Ir 2.54, 4 Pt 2.54, 2 Li 2.81

relative energy among the computed polymorphs: 313 meV per atom
symmetry: P4/mmm (123)

What did the sixth record say?
## Li2IrPt (GGA-PBE)

Data for a relaxed structure of Li2IrPt.

Lattice parameters (Å, degrees): 2.6749 2.6749 9.5548 90.00 90.00 117.41
Closest atoms and distances in Å follow each position.
Sites, in units of the cell vectors:
Li1 0.0000 0.0000 0.9807  2 Ir 2.53, 6 Li 2.67-2.78
Ir1 0.5000 0.5000 0.7595  2 Li 2.53, 6 Ir 2.67-2.78
Pt1 0.0000 0.0000 0.4894  2 Li 2.51, 6 Pt 2.67-2.78
Li2 0.5000 0.5000 0.2704  2 Pt 2.51, 6 Li 2.67-2.78

relative energy among the computed polymorphs: 375 meV per atom
symmetry: Cmm2 (35)